NiPb2Cl after structural relaxation, computed with PBE. Values from VASP.

The structure in Quantum ESPRESSO input format:
```
&SYSTEM
  ibrav = 0, nat = 8, ntyp = 3
/
ATOMIC_SPECIES
Cl 35.45 Cl.upf
Pb 207.20 Pb.upf
Ni 58.69 Ni.upf
ATOMIC_POSITIONS angstrom
Cl 3.104 6.208 3.339
Cl 3.104 3.104 0.000
Pb 7.760 8.244 5.008
Pb 5.140 1.552 1.669
Pb 4.656 4.171 5.008
Pb 1.067 4.656 1.669
Ni 6.208 3.104 3.339
Ni 0.000 0.000 0.000
CELL_PARAMETERS angstrom
6.208 0.000 0.000
0.000 6.208 0.000
3.104 3.104 6.678
```

Computed properties:
Its space group is I-42d (122). The density is 6563 kg/m³. The crystal system is tetragonal. As for the total magnetic moment: 0.0 μB per cell. The calculation puts the energy relative to the elements, uncorrected at 0.00 eV/f.u.